VASP calculation (PBE) on CaPrNdZn after structural relaxation.

- E_form: -0.48 eV per formula unit
- Mass density: 5.2 g/cm3
- Uncorrected energy: -13.30 eV per cell
- V: 31.31 A^3/atom

Lattice parameters (Å, degrees): 3.656 3.656 9.369 90.00 90.00 90.00
Element x y z (fractional)
Zn  0.000  0.000  0.564
Nd  0.500  0.500  0.367
Pr  0.000  0.000  0.087
Ca  0.500  0.500  0.767